Below is a relaxed Cs2In4Ga3Pb crystal, with properties calculated at the PBE-GGA level.

Cell lengths 5.046, 5.046, 12.269 Å; angles 90.00, 90.00, 90.00 degrees
Atoms (fractional coordinates):
Cs1 0.000 0.500 0.245
Cs2 0.500 0.000 0.755
In1 0.000 0.000 0.000
In2 0.000 0.500 0.641
In3 0.500 0.000 0.359
In4 0.500 0.500 0.000
Ga1 0.000 0.500 0.875
Ga2 0.500 0.000 0.125
Ga3 0.500 0.500 0.500
Pb1 0.000 0.000 0.500

Values from the calculation:
- ΔH_f (0 K) (eV per atom) = -0.086
- crystal system = tetragonal
- DOS at the Fermi energy (states/eV/f.u.) = 4.39
- E (eV/atom) = -2.63

***

Below is a relaxed Li2CaLaNi crystal, with properties calculated at the PBE-GGA level.

Cell lengths 5.181, 5.181, 5.053 Å; angles 90.00, 90.00, 90.00 degrees
Atoms (fractional coordinates):
Li1 0.000 0.500 0.000
Li2 0.500 0.000 0.000
Ca1 0.000 0.000 0.500
La1 0.500 0.500 0.500
Ni1 0.500 0.500 0.000

Values from the calculation:
- ΔH_f (0 K) (eV per atom) = 0.083
- crystal system = tetragonal
- DOS at the Fermi energy (states/eV/f.u.) = 5.03
- E (eV/atom) = -3.22

***

Below is a relaxed ZrGa3Co2 crystal, with properties calculated at the PBE-GGA level.

Cell lengths 7.534, 7.534, 7.142 Å; angles 118.29, 118.29, 31.10 degrees
Atoms (fractional coordinates):
Zr1 0.133 0.133 0.133
Zr2 0.867 0.867 0.867
Ga1 0.000 0.000 0.330
Ga2 0.000 0.000 0.670
Ga3 0.326 0.326 0.118
Ga4 0.326 0.326 0.535
Ga5 0.674 0.674 0.465
Ga6 0.674 0.674 0.882
Co1 0.189 0.189 0.689
Co2 0.500 0.500 0.150
Co3 0.500 0.500 0.850
Co4 0.811 0.811 0.311

Values from the calculation:
- ΔH_f (0 K) (eV per atom) = -0.321
- crystal system = monoclinic
- DOS at the Fermi energy (states/eV/f.u.) = 4.07
- E (eV/atom) = -5.63